# CeNd2Co

A relaxed CeNd2Co crystal (PBE, Alexandria via LeMat-Bulk). Values from VASP.

The total energy is -0.4233 Ry per atom. The theoretical density comes out at 7.369 Mg/m³. For the formation energy, the calculation gives -0.1159 eV/atom. The calculation puts the excess energy over the best structure of this formula in the dataset at 0.000 eV/atom.

Structure (Quantum ESPRESSO input):
```
&SYSTEM
  ibrav = 0, nat = 16, ntyp = 3
/
ATOMIC_SPECIES
Ce 140.12 Ce.upf
Nd 144.24 Nd.upf
Co 58.93 Co.upf
ATOMIC_POSITIONS angstrom
Ce 0.4121 2.4751 1.0323
Ce 3.0230 7.4252 4.2629
Ce 3.8472 2.4751 2.1983
Ce 6.4581 7.4252 5.4288
Nd 1.1252 0.6802 4.3539
Nd 1.1252 4.2699 4.3539
Nd 2.3099 5.6304 1.1234
Nd 2.3099 9.2201 1.1234
Nd 4.5603 0.6802 5.3378
Nd 4.5603 4.2699 5.3378
Nd 5.7450 5.6304 2.1072
Nd 5.7450 9.2201 2.1072
Co 0.9991 7.4252 3.2284
Co 2.4360 2.4751 6.4590
Co 4.4342 7.4252 0.0022
Co 5.8711 2.4751 3.2328
CELL_PARAMETERS angstrom
6.8702 0.0000 0.0000
0.0000 9.9003 0.0000
0.0000 0.0000 6.4612
```